[1]
## Ac2CoH4 (PBE)

Data for Ac2CoH4 after structural relaxation.

## Properties
* mass density: 8.3 Mg/m³
* crystal system: tetragonal
* D(E_F): 0.589 states/eV/atom
* total moment: 0.0 μB/f.u.
* final energy: -4.410 eV/atom

Unit cell a=3.7312 b=3.7312 c=7.9163 alpha=103.63 beta=103.63 gamma=90.00
Closest atoms and distances in Å follow each position.
Fractional coordinates of all 7 atoms:
H1 0.8894 0.8894 0.7789  1 Co 1.65
H2 0.1106 0.1106 0.2211  1 Co 1.65
H3 0.5000 0.0000 0.0000  2 Co 1.87
H4 0.0000 0.5000 0.0000  2 Co 1.87
Ac1 0.6299 0.6299 0.2598  8 H 2.65-2.69
Ac2 0.3701 0.3701 0.7402  8 H 2.65-2.69
Co1 0.0000 0.0000 0.0000  2 H 1.65

=====

[2]
## Ac2CoH (PBE)

Data for Ac2CoH after structural relaxation.

## Properties
* mass density: 8.7 Mg/m³
* crystal system: trigonal
* D(E_F): 0.178 states/eV/atom
* total moment: 0.0 μB/f.u.
* final energy: -4.819 eV/atom

Unit cell a=4.1481 b=4.1481 c=7.0087 alpha=72.79 beta=72.79 gamma=60.00
Closest atoms and distances in Å follow each position.
Fractional coordinates of all 4 atoms:
H1 0.5000 0.5000 0.5000  6 Ac 2.92
Co1 0.0000 0.0000 0.0000  6 Ac 2.89
Ac1 0.7489 0.7489 0.7534  3 Co 2.89, 3 H 2.92
Ac2 0.2511 0.2511 0.2466  3 Co 2.89, 3 H 2.92

=====

[3]
## Ac2CoH (PBE)

Data for Ac2CoH after structural relaxation.

## Properties
* mass density: 9.3 Mg/m³
* crystal system: tetragonal
* D(E_F): 0.892 states/eV/atom
* total moment: 0.0 μB/f.u.
* final energy: -4.558 eV/atom

Unit cell a=3.5188 b=3.5188 c=7.4008 alpha=90.00 beta=90.00 gamma=90.00
Closest atoms and distances in Å follow each position.
Fractional coordinates of all 4 atoms:
Ac1 0.0000 0.0000 0.7547  4 Co 3.08, 4 H 3.12
Ac2 0.0000 0.0000 0.2453  4 Co 3.08, 4 H 3.12
Co1 0.5000 0.5000 0.0000  8 Ac 3.08
H1 0.5000 0.5000 0.5000  8 Ac 3.12